# 1
This record from Alexandria via LeMat-Bulk describes a geometry-optimized TbNd2DyTm2 structure. The functional is PBE.

```
TbNd2DyTm2
1.0
7.041 0.000 0.000
0.000 9.741 0.000
0.000 0.000 5.640
Tb Nd Dy Tm
2 4 2 4
Direct
0.000 0.000 0.000 Tb
0.500 0.500 0.500 Tb
0.249 0.333 0.000 Nd
0.251 0.833 0.500 Nd
0.749 0.167 0.500 Nd
0.751 0.667 0.000 Nd
0.000 0.500 0.500 Dy
0.500 0.000 0.000 Dy
0.250 0.167 0.500 Tm
0.250 0.667 0.000 Tm
0.750 0.333 0.000 Tm
0.750 0.833 0.500 Tm
```

uncorrected energy = -4.551 eV per atom
SG = Pnnm
calculated volume = 32.24 A^3/atom

---

# 2
This record from Alexandria via LeMat-Bulk describes a geometry-optimized Tb4NdDy2Tm structure. The functional is PBE.

```
Tb4NdDy2Tm
1.0
6.796 -6.625 0.000
6.796 6.625 0.000
-3.400 0.000 5.887
Tb Nd Dy Tm
8 2 4 2
Direct
0.247 0.250 0.500 Tb
0.248 0.752 0.502 Tb
0.248 0.752 0.998 Tb
0.250 0.247 0.000 Tb
0.750 0.753 0.000 Tb
0.752 0.248 0.002 Tb
0.752 0.248 0.498 Tb
0.753 0.750 0.500 Tb
0.000 0.500 0.000 Nd
0.500 0.000 0.500 Nd
0.000 0.500 0.500 Dy
0.500 0.000 0.000 Dy
0.500 0.500 0.000 Dy
0.500 0.500 0.500 Dy
0.000 0.000 0.000 Tm
0.000 0.000 0.500 Tm
```

uncorrected energy = -4.191 eV per atom
SG = C2/c
calculated volume = 33.13 A^3/atom

---

# 3
This record from Alexandria via LeMat-Bulk describes a geometry-optimized TbNd2DyTm structure. The functional is PBE.

```
TbNd2DyTm
1.0
6.197 0.000 0.000
0.000 8.080 0.000
0.000 0.000 6.756
Tb Nd Dy Tm
2 4 2 2
Direct
0.000 0.000 0.000 Tb
0.500 0.000 0.000 Tb
0.250 0.301 0.306 Nd
0.250 0.699 0.306 Nd
0.750 0.301 0.694 Nd
0.750 0.699 0.694 Nd
0.250 0.500 0.838 Dy
0.750 0.500 0.162 Dy
0.250 0.000 0.587 Tm
0.750 0.000 0.413 Tm
```

uncorrected energy = -4.383 eV per atom
SG = Pmma
calculated volume = 33.83 A^3/atom

---

# 4
This record from Alexandria via LeMat-Bulk describes a geometry-optimized TbNd4Dy2Tm structure. The functional is PBE.

```
TbNd4Dy2Tm
1.0
5.116 0.000 0.000
0.000 5.143 0.000
0.000 0.000 10.072
Tb Nd Dy Tm
1 4 2 1
Direct
0.000 0.000 0.000 Tb
0.000 0.500 0.251 Nd
0.000 0.500 0.749 Nd
0.500 0.000 0.251 Nd
0.500 0.000 0.749 Nd
0.000 0.000 0.500 Dy
0.500 0.500 0.000 Dy
0.500 0.500 0.500 Tm
```

uncorrected energy = -4.656 eV per atom
SG = Pmmm
calculated volume = 33.13 A^3/atom

---

# 5
This record from Alexandria via LeMat-Bulk describes a geometry-optimized Tb2NdDy6Tm3 structure. The functional is PBE.

```
Tb2NdDy6Tm3
1.0
3.069 -5.310 0.000
3.069 5.310 0.000
-2.035 0.000 11.557
Tb Nd Dy Tm
2 1 6 3
Direct
0.167 0.833 0.000 Tb
0.833 0.167 0.000 Tb
0.500 0.500 0.000 Nd
0.081 0.415 0.747 Dy
0.251 0.251 0.253 Dy
0.415 0.081 0.747 Dy
0.585 0.919 0.253 Dy
0.749 0.749 0.747 Dy
0.919 0.585 0.253 Dy
0.000 0.000 0.500 Tm
0.333 0.667 0.500 Tm
0.667 0.333 0.500 Tm
```

uncorrected energy = -4.569 eV per atom
SG = C2/m
calculated volume = 31.39 A^3/atom

---

# 6
This record from Alexandria via LeMat-Bulk describes a geometry-optimized Tb6NdDy2Tm3 structure. The functional is PBE.

```
Tb6NdDy2Tm3
1.0
3.074 -5.320 0.000
3.074 5.320 0.000
-2.039 0.000 11.576
Tb Nd Dy Tm
6 1 2 3
Direct
0.081 0.415 0.247 Tb
0.251 0.251 0.753 Tb
0.415 0.081 0.247 Tb
0.585 0.919 0.753 Tb
0.749 0.749 0.247 Tb
0.919 0.585 0.753 Tb
0.500 0.500 0.500 Nd
0.167 0.833 0.500 Dy
0.833 0.167 0.500 Dy
0.000 0.000 0.000 Tm
0.333 0.667 0.000 Tm
0.667 0.333 0.000 Tm
```

uncorrected energy = -4.579 eV per atom
SG = C2/m
calculated volume = 31.55 A^3/atom

---

# 7
This record from Alexandria via LeMat-Bulk describes a geometry-optimized TbNd6Dy2Tm3 structure. The functional is PBE.

```
TbNd6Dy2Tm3
1.0
3.128 -5.416 0.000
3.128 5.416 0.000
-2.078 0.000 11.612
Tb Nd Dy Tm
1 6 2 3
Direct
0.000 0.000 0.000 Tb
0.084 0.418 0.252 Nd
0.249 0.249 0.748 Nd
0.418 0.084 0.252 Nd
0.582 0.916 0.748 Nd
0.751 0.751 0.252 Nd
0.916 0.582 0.748 Nd
0.333 0.667 0.000 Dy
0.667 0.333 0.000 Dy
0.167 0.833 0.500 Tm
0.500 0.500 0.500 Tm
0.833 0.167 0.500 Tm
```

uncorrected energy = -4.641 eV per atom
SG = C2/m
calculated volume = 32.78 A^3/atom

---

# 8
This record from Alexandria via LeMat-Bulk describes a geometry-optimized Tb2NdDyTm4 structure. The functional is PBE.

```
Tb2NdDyTm4
1.0
6.755 -6.612 0.000
6.755 6.612 0.000
-3.384 0.000 5.854
Tb Nd Dy Tm
4 2 2 8
Direct
0.000 0.000 0.000 Tb
0.000 0.000 0.500 Tb
0.000 0.500 0.000 Tb
0.500 0.000 0.500 Tb
0.000 0.500 0.500 Nd
0.500 0.000 0.000 Nd
0.500 0.500 0.000 Dy
0.500 0.500 0.500 Dy
0.250 0.251 0.002 Tm
0.250 0.750 0.001 Tm
0.250 0.750 0.499 Tm
0.251 0.250 0.502 Tm
0.749 0.750 0.498 Tm
0.750 0.250 0.501 Tm
0.750 0.250 0.999 Tm
0.750 0.749 0.998 Tm
```

uncorrected energy = -4.123 eV per atom
SG = C2/c
calculated volume = 32.68 A^3/atom

---

Calculated energy relative to the elements (eV/atom), listed in the same order as above: 0.0673 0.4295 0.2649 0.0161 0.0192 0.0182 0.0133 0.4412
Calculated M_tot (μB per atom), listed in the same order as above: 0.000 0.369 0.000 0.000 0.000 0.000 0.000 0.370